(1)
Material: BeHgN2F
Method: DFT, GGA-PBE
State: relaxed

```
data_BeHgN2F
_symmetry_space_group_name_H-M 'P 4/m m m'
_symmetry_Int_Tables_number 123
_symmetry_space_group_name_Hall '-P 4 2'
_cell_length_a 3.681
_cell_length_b 3.681
_cell_length_c 3.789
_cell_angle_alpha 90.00
_cell_angle_beta 90.00
_cell_angle_gamma 90.00
loop_
_atom_site_label
_atom_site_type_symbol
_atom_site_fract_x
_atom_site_fract_y
_atom_site_fract_z
_atom_site_occupancy
Be1 Be 0.000 0.000 0.000 1
Hg1 Hg 0.500 0.500 0.500 1
N1 N 0.000 0.500 0.000 1
F1 F 0.000 0.000 0.500 1
```

Output
- Final energy: -19.99 eV per cell
- Relative energy among the computed polymorphs: 0 meV per atom
- DOS at the Fermi energy: 1.54 states/eV/f.u.
- Mass density: 8.30 g/cm³

***

(2)
Material: BeHgN2F
Method: DFT, GGA-PBE
State: relaxed

```
data_BeHgN2F
_symmetry_space_group_name_H-M 'P 4/m m m'
_symmetry_Int_Tables_number 123
_symmetry_space_group_name_Hall '-P 4 2'
_cell_length_a 4.171
_cell_length_b 4.171
_cell_length_c 4.596
_cell_angle_alpha 90.00
_cell_angle_beta 90.00
_cell_angle_gamma 90.00
loop_
_atom_site_label
_atom_site_type_symbol
_atom_site_fract_x
_atom_site_fract_y
_atom_site_fract_z
_atom_site_occupancy
Be1 Be 0.000 0.000 0.000 1
Hg1 Hg 0.500 0.500 0.500 1
N1 N 0.000 0.500 0.500 1
F1 F 0.500 0.500 0.000 1
```

Output
- Final energy: -13.65 eV per cell
- Relative energy among the computed polymorphs: 1268 meV per atom
- DOS at the Fermi energy: 1.63 states/eV/f.u.
- Mass density: 5.33 g/cm³

***

(3)
Material: Na2BeHgF
Method: DFT, GGA-PBE
State: relaxed

```
data_Na2BeHgF
_symmetry_space_group_name_H-M 'P 4/m m m'
_symmetry_Int_Tables_number 123
_symmetry_space_group_name_Hall '-P 4 2'
_cell_length_a 5.762
_cell_length_b 5.762
_cell_length_c 4.451
_cell_angle_alpha 90.00
_cell_angle_beta 90.00
_cell_angle_gamma 90.00
loop_
_atom_site_label
_atom_site_type_symbol
_atom_site_fract_x
_atom_site_fract_y
_atom_site_fract_z
_atom_site_occupancy
Na1 Na 0.000 0.500 0.000 1
Be1 Be 0.000 0.000 0.500 1
Hg1 Hg 0.000 0.000 0.000 1
F1 F 0.500 0.500 0.500 1
```

Output
- Final energy: -9.47 eV per cell
- DOS at the Fermi energy: 2.35 states/eV/f.u.
- Mass density: 3.09 g/cm³

***

(4)
Material: BeHgOF2
Method: DFT, GGA-PBE
State: relaxed

```
data_BeHgOF2
_symmetry_space_group_name_H-M 'P 4/m m m'
_symmetry_Int_Tables_number 123
_symmetry_space_group_name_Hall '-P 4 2'
_cell_length_a 4.451
_cell_length_b 4.451
_cell_length_c 4.221
_cell_angle_alpha 90.00
_cell_angle_beta 90.00
_cell_angle_gamma 90.00
loop_
_atom_site_label
_atom_site_type_symbol
_atom_site_fract_x
_atom_site_fract_y
_atom_site_fract_z
_atom_site_occupancy
Be1 Be 0.000 0.000 0.000 1
Hg1 Hg 0.500 0.500 0.500 1
O1 O 0.500 0.500 0.000 1
F1 F 0.000 0.500 0.500 1
```

Output
- Final energy: -13.10 eV per cell
- Relative energy among the computed polymorphs: 1630 meV per atom
- DOS at the Fermi energy: 2.84 states/eV/f.u.
- Mass density: 5.23 g/cm³

***

(5)
Material: BeHgO2F
Method: DFT, GGA-PBE
State: relaxed

```
data_BeHgO2F
_symmetry_space_group_name_H-M 'P 4/m m m'
_symmetry_Int_Tables_number 123
_symmetry_space_group_name_Hall '-P 4 2'
_cell_length_a 4.189
_cell_length_b 4.189
_cell_length_c 4.332
_cell_angle_alpha 90.00
_cell_angle_beta 90.00
_cell_angle_gamma 90.00
loop_
_atom_site_label
_atom_site_type_symbol
_atom_site_fract_x
_atom_site_fract_y
_atom_site_fract_z
_atom_site_occupancy
Be1 Be 0.000 0.000 0.000 1
Hg1 Hg 0.500 0.500 0.500 1
O1 O 0.000 0.500 0.500 1
F1 F 0.500 0.500 0.000 1
```

Output
- Final energy: -13.96 eV per cell
- DOS at the Fermi energy: 1.83 states/eV/f.u.
- Mass density: 5.69 g/cm³

***

(6)
Material: BeHgO2F
Method: DFT, GGA-PBE
State: relaxed

```
data_BeHgO2F
_symmetry_space_group_name_H-M 'P 4/m m m'
_symmetry_Int_Tables_number 123
_symmetry_space_group_name_Hall '-P 4 2'
_cell_length_a 3.723
_cell_length_b 3.723
_cell_length_c 3.548
_cell_angle_alpha 90.00
_cell_angle_beta 90.00
_cell_angle_gamma 90.00
loop_
_atom_site_label
_atom_site_type_symbol
_atom_site_fract_x
_atom_site_fract_y
_atom_site_fract_z
_atom_site_occupancy
Be1 Be 0.000 0.000 0.000 1
Hg1 Hg 0.500 0.500 0.500 1
O1 O 0.000 0.500 0.000 1
F1 F 0.000 0.000 0.500 1
```

Output
- Final energy: -21.08 eV per cell
- DOS at the Fermi energy: 1.60 states/eV/f.u.
- Mass density: 8.80 g/cm³